The following is a PBE-GGA calculation of crystalline Pr4HoEr7 at its relaxed geometry, from the Alexandria database. Values from VASP.

The structure in Quantum ESPRESSO input format:
```
&SYSTEM
  ibrav = 0, nat = 12, ntyp = 3
/
ATOMIC_SPECIES
Pr 140.91 Pr.upf
Ho 164.93 Ho.upf
Er 167.26 Er.upf
CELL_PARAMETERS angstrom
6.051 -1.334 2.911
1.232 5.955 2.483
2.831 -1.980 11.363
ATOMIC_POSITIONS angstrom
Pr 4.770 2.550 6.367
Pr 5.344 0.091 10.391
Pr 7.176 2.660 11.965
Pr 2.938 -0.019 4.792
Ho 0.000 0.000 0.000
Er 8.173 0.088 14.419
Er 1.941 2.553 2.339
Er 2.556 0.553 8.276
Er 7.558 2.088 8.482
Er 4.422 3.259 9.867
Er 3.025 -0.667 1.456
Er 5.691 -0.618 6.890
```

## Properties
SG = No. 2
total moment = 0.00 μB/f.u.
E_form = 0.0902 eV/atom



The following is a PBE-GGA calculation of crystalline TiAgPd2Se at its relaxed geometry, from the Alexandria database. Values from VASP.

The structure in Quantum ESPRESSO input format:
```
&SYSTEM
  ibrav = 0, nat = 5, ntyp = 4
/
ATOMIC_SPECIES
Se 78.96 Se.upf
Pd 106.42 Pd.upf
Ag 107.87 Ag.upf
Ti 47.87 Ti.upf
CELL_PARAMETERS angstrom
4.762 0.000 0.000
0.000 4.754 0.000
0.000 0.000 4.762
ATOMIC_POSITIONS angstrom
Se 0.000 2.377 0.000
Pd 0.000 0.000 2.381
Pd 2.381 0.000 0.000
Ag 2.381 2.377 2.381
Ti 0.000 0.000 0.000
```

## Properties
SG = No. 123
total moment = 0.00 μB/f.u.
uncorrected formation energy = 0.240 eV per atom



The following is a PBE-GGA calculation of crystalline CaCdIr2W at its relaxed geometry, from the Alexandria database. Values from VASP.

The structure in Quantum ESPRESSO input format:
```
&SYSTEM
  ibrav = 0, nat = 5, ntyp = 4
/
ATOMIC_SPECIES
Ca 40.08 Ca.upf
Ir 192.22 Ir.upf
W 183.84 W.upf
Cd 112.41 Cd.upf
CELL_PARAMETERS angstrom
-4.118 -0.771 -2.351
1.572 -4.340 -1.331
-2.084 -2.084 4.334
ATOMIC_POSITIONS angstrom
Ca -2.315 -3.597 0.327
Ir 0.786 -2.170 -0.665
Ir -2.059 -0.385 -1.175
W 0.000 0.000 0.000
Cd -1.042 -1.042 2.167
```

## Properties
SG = No. 123
total moment = 0.00 μB/f.u.
E_form = 0.6990 eV/atom



The following is a PBE-GGA calculation of crystalline DySc2Pa at its relaxed geometry, from the Alexandria database. Values from VASP.

The structure in Quantum ESPRESSO input format:
```
&SYSTEM
  ibrav = 0, nat = 4, ntyp = 3
/
ATOMIC_SPECIES
Sc 44.96 Sc.upf
Pa 231.04 Pa.upf
Dy 162.50 Dy.upf
CELL_PARAMETERS angstrom
4.681 0.000 0.000
0.000 4.704 0.000
0.000 0.000 4.704
ATOMIC_POSITIONS angstrom
Sc 0.000 0.000 2.352
Sc 0.000 2.352 0.000
Pa 2.341 2.352 2.352
Dy 2.341 0.000 0.000
```

## Properties
SG = No. 123
total moment = 0.00 μB/f.u.
E_form = 0.1663 eV/atom



The following is a PBE-GGA calculation of crystalline AlReMo2 at its relaxed geometry, from the Alexandria database. Values from VASP.

The structure in Quantum ESPRESSO input format:
```
&SYSTEM
  ibrav = 0, nat = 4, ntyp = 3
/
ATOMIC_SPECIES
Re 186.21 Re.upf
Mo 95.94 Mo.upf
Al 26.98 Al.upf
CELL_PARAMETERS angstrom
-0.583 1.778 -1.981
-0.152 -2.541 -0.971
-8.532 -0.335 2.209
ATOMIC_POSITIONS angstrom
Re -2.500 -0.466 -0.924
Mo -8.525 -0.335 2.208
Mo -4.273 -0.168 1.107
Al -6.766 -0.633 0.181
```

## Properties
SG = No. 65
total moment = 0.00 μB/f.u.
E_form = -0.0106 eV/atom



The following is a PBE-GGA calculation of crystalline In2ReSi2 at its relaxed geometry, from the Alexandria database. Values from VASP.

The structure in Quantum ESPRESSO input format:
```
&SYSTEM
  ibrav = 0, nat = 5, ntyp = 3
/
ATOMIC_SPECIES
Re 186.21 Re.upf
Si 28.09 Si.upf
In 114.82 In.upf
CELL_PARAMETERS angstrom
-2.133 -1.621 2.577
3.011 -1.588 1.494
1.333 4.255 6.461
ATOMIC_POSITIONS angstrom
Re 0.000 0.000 0.000
Si 0.581 -0.676 2.736
Si 1.630 1.723 7.795
In -0.181 0.515 5.536
In 2.391 0.532 4.995
```

## Properties
SG = No. 139
total moment = 0.00 μB/f.u.
uncorrected formation energy = 1.083 eV per atom



The following is a PBE-GGA calculation of crystalline NpCdN2 at its relaxed geometry, from the Alexandria database. Values from VASP.

The structure in Quantum ESPRESSO input format:
```
&SYSTEM
  ibrav = 0, nat = 4, ntyp = 3
/
ATOMIC_SPECIES
Np 237.00 Np.upf
N 14.01 N.upf
Cd 112.41 Cd.upf
CELL_PARAMETERS angstrom
3.484 0.000 0.000
1.742 3.017 0.000
1.742 1.006 6.636
ATOMIC_POSITIONS angstrom
Np 3.484 2.011 3.318
N 1.742 1.006 4.236
N 5.225 3.017 2.400
Cd 0.000 0.000 0.000
```

## Properties
SG = No. 166
total moment = 1.49 μB/f.u.
uncorrected formation energy = -0.490 eV per atom



The following is a PBE-GGA calculation of crystalline Tl2CuBiBr6 at its relaxed geometry, from the Alexandria database. Values from VASP.

The structure in Quantum ESPRESSO input format:
```
&SYSTEM
  ibrav = 0, nat = 20, ntyp = 4
/
ATOMIC_SPECIES
Tl 204.38 Tl.upf
Cu 63.55 Cu.upf
Bi 208.98 Bi.upf
Br 79.90 Br.upf
CELL_PARAMETERS angstrom
-4.177 2.304 6.326
-6.906 0.031 -4.571
-1.829 -9.647 2.697
ATOMIC_POSITIONS angstrom
Tl -6.933 -2.362 -3.385
Tl -7.552 -6.045 2.705
Tl -5.978 -4.950 7.837
Tl -5.359 -1.268 1.747
Cu -3.003 -3.672 4.511
Cu -3.453 0.016 -2.285
Bi -2.088 1.152 3.163
Bi -4.367 -4.808 -0.937
Br -6.251 0.280 -1.228
Br -9.787 -3.389 2.931
Br -6.660 -7.592 5.680
Br -3.125 -3.923 1.521
Br -6.878 -3.630 -0.127
Br -10.581 -7.299 3.921
Br -6.034 -3.682 4.579
Br -2.330 -0.013 0.531
Br -7.795 -0.056 3.924
Br -9.752 -6.017 0.037
Br -5.117 -7.256 0.528
Br -3.159 -1.295 4.415
```

## Properties
SG = No. 14
total moment = 0.00 μB/f.u.
uncorrected formation energy = -0.670 eV per atom



The following is a PBE-GGA calculation of crystalline CaAg3Sn at its relaxed geometry, from the Alexandria database. Values from VASP.

The structure in Quantum ESPRESSO input format:
```
&SYSTEM
  ibrav = 0, nat = 5, ntyp = 3
/
ATOMIC_SPECIES
Ca 40.08 Ca.upf
Ag 107.87 Ag.upf
Sn 118.71 Sn.upf
CELL_PARAMETERS angstrom
3.668 -0.002 -0.003
0.002 4.724 0.017
1.823 2.379 6.540
ATOMIC_POSITIONS angstrom
Ca 3.119 3.113 5.976
Ag 3.122 5.462 2.299
Ag 1.292 3.112 2.953
Ag 3.130 3.103 0.732
Sn 1.285 5.473 4.509
```

## Properties
SG = No. 1
total moment = 0.00 μB/f.u.
E_form = -0.2018 eV/atom



The following is a PBE-GGA calculation of crystalline NbPtI2 at its relaxed geometry, from the Alexandria database. Values from VASP.

The structure in Quantum ESPRESSO input format:
```
&SYSTEM
  ibrav = 0, nat = 8, ntyp = 3
/
ATOMIC_SPECIES
I 126.90 I.upf
Nb 92.91 Nb.upf
Pt 195.08 Pt.upf
CELL_PARAMETERS angstrom
-0.295 -4.322 -4.886
6.463 0.473 -0.809
3.883 -6.303 0.976
ATOMIC_POSITIONS angstrom
I 1.590 -4.281 -2.983
I 4.977 -1.757 -0.800
I 5.130 -6.177 -1.392
I 8.404 -8.088 -4.263
Nb 3.084 -1.924 -2.848
Nb 6.714 -3.877 -1.340
Pt 0.000 0.000 0.000
Pt 3.336 -6.274 -3.379
```

## Properties
SG = No. 122
total moment = 2.80 μB/f.u.
uncorrected formation energy = 0.651 eV per atom



The following is a PBE-GGA calculation of crystalline RbYB3 at its relaxed geometry, from the Alexandria database. Values from VASP.

The structure in Quantum ESPRESSO input format:
```
&SYSTEM
  ibrav = 0, nat = 5, ntyp = 3
/
ATOMIC_SPECIES
Y 88.91 Y.upf
B 10.81 B.upf
Rb 85.47 Rb.upf
CELL_PARAMETERS angstrom
4.604 0.000 0.000
0.000 4.604 0.000
0.000 0.000 4.604
ATOMIC_POSITIONS angstrom
Y 2.302 2.302 2.302
B 0.000 2.302 0.000
B 0.000 0.000 2.302
B 2.302 0.000 0.000
Rb 0.000 0.000 0.000
```

## Properties
SG = No. 221
total moment = 0.50 μB/f.u.
E_form = 2.6466 eV/atom



The following is a PBE-GGA calculation of crystalline Bi3SbPb6 at its relaxed geometry, from the Alexandria database. Values from VASP.

The structure in Quantum ESPRESSO input format:
```
&SYSTEM
  ibrav = 0, nat = 20, ntyp = 3
/
ATOMIC_SPECIES
Bi 208.98 Bi.upf
Sb 121.76 Sb.upf
Pb 207.20 Pb.upf
CELL_PARAMETERS angstrom
4.684 0.000 0.000
0.000 11.689 -1.839
0.000 -5.472 13.350
ATOMIC_POSITIONS angstrom
Bi 3.513 1.475 10.824
Bi 1.171 4.741 0.687
Bi 3.513 5.090 5.398
Bi 1.171 1.127 6.113
Bi 3.513 1.897 1.785
Bi 1.171 4.320 9.726
Sb 3.513 -2.452 8.787
Sb 1.171 8.668 2.724
Pb 3.513 2.673 7.722
Pb 1.171 3.544 3.789
Pb 3.513 10.362 -1.277
Pb 1.171 -4.146 12.788
Pb 3.513 -1.648 11.940
Pb 1.171 7.864 -0.429
Pb 3.513 6.503 2.442
Pb 1.171 -0.286 9.069
Pb 3.513 -1.227 5.940
Pb 1.171 7.443 5.571
Pb 3.513 6.309 8.551
Pb 1.171 -0.092 2.960
```

## Properties
SG = No. 11
total moment = 0.00 μB/f.u.
uncorrected formation energy = 0.046 eV per atom



The following is a PBE-GGA calculation of crystalline Ho3CdAg at its relaxed geometry, from the Alexandria database. Values from VASP.

The structure in Quantum ESPRESSO input format:
```
&SYSTEM
  ibrav = 0, nat = 10, ntyp = 3
/
ATOMIC_SPECIES
Ho 164.93 Ho.upf
Cd 112.41 Cd.upf
Ag 107.87 Ag.upf
CELL_PARAMETERS angstrom
-3.568 -3.742 0.055
1.850 -1.698 4.516
-7.963 4.091 4.799
ATOMIC_POSITIONS angstrom
Ho -3.229 -2.784 1.754
Ho -7.875 1.699 5.342
Ho -5.559 -0.536 3.553
Ho -0.552 -1.732 4.009
Ho -8.766 -0.991 7.652
Ho -2.868 0.503 5.798
Cd -3.464 -2.514 4.908
Cd -8.531 -1.261 4.498
Ag -5.767 -0.292 6.686
Ag -2.660 0.259 2.665
```

## Properties
SG = No. 63
total moment = 0.00 μB/f.u.
E_form = -0.2239 eV/atom



The following is a PBE-GGA calculation of crystalline PmTm6In at its relaxed geometry, from the Alexandria database. Values from VASP.

The structure in Quantum ESPRESSO input format:
```
&SYSTEM
  ibrav = 0, nat = 8, ntyp = 3
/
ATOMIC_SPECIES
Pm 145.00 Pm.upf
Tm 168.93 Tm.upf
In 114.82 In.upf
CELL_PARAMETERS angstrom
-0.270 -3.380 -3.493
3.502 -2.561 2.208
-6.843 -4.853 5.224
ATOMIC_POSITIONS angstrom
Pm 0.000 0.000 0.000
Tm 1.616 -2.971 -0.643
Tm -1.805 -5.397 1.969
Tm -1.893 -2.937 -0.404
Tm -5.219 -5.296 2.135
Tm -0.007 -2.528 2.446
Tm -3.333 -4.887 4.986
In -3.421 -2.426 2.612
```

## Properties
SG = No. 123
total moment = 0.00 μB/f.u.
E_form = -0.1031 eV/atom



The following is a PBE-GGA calculation of crystalline CuNi2Pt9 at its relaxed geometry, from the Alexandria database. Values from VASP.

The structure in Quantum ESPRESSO input format:
```
&SYSTEM
  ibrav = 0, nat = 12, ntyp = 3
/
ATOMIC_SPECIES
Cu 63.55 Cu.upf
Ni 58.69 Ni.upf
Pt 195.08 Pt.upf
CELL_PARAMETERS angstrom
-2.286 -1.989 2.433
0.855 -3.289 -1.886
9.091 -1.727 7.130
ATOMIC_POSITIONS angstrom
Cu 0.000 0.000 0.000
Ni 3.048 -0.579 2.390
Ni 6.043 -1.148 4.739
Pt -0.716 -2.639 0.273
Pt 2.316 -3.215 2.651
Pt 5.343 -3.790 5.025
Pt 0.384 -1.285 2.414
Pt 3.402 -1.858 4.781
Pt 6.421 -2.432 7.149
Pt 1.954 -1.934 0.255
Pt 4.973 -2.508 2.622
Pt 7.991 -3.081 4.989
```

## Properties
SG = No. 123
total moment = 1.82 μB/f.u.
E_form = -0.0861 eV/atom



The following is a PBE-GGA calculation of crystalline OsWCl2 at its relaxed geometry, from the Alexandria database. Values from VASP.

The structure in Quantum ESPRESSO input format:
```
&SYSTEM
  ibrav = 0, nat = 4, ntyp = 3
/
ATOMIC_SPECIES
Os 190.23 Os.upf
W 183.84 W.upf
Cl 35.45 Cl.upf
CELL_PARAMETERS angstrom
3.084 -0.013 0.000
-1.562 2.659 0.000
0.000 0.000 9.770
ATOMIC_POSITIONS angstrom
Os 0.000 0.000 5.153
W 0.761 1.323 7.084
Cl 0.000 0.000 9.139
Cl 0.761 1.323 3.049
```

## Properties
SG = No. 35
total moment = 0.00 μB/f.u.
uncorrected formation energy = 0.425 eV per atom



The following is a PBE-GGA calculation of crystalline TlHg5Pb2 at its relaxed geometry, from the Alexandria database. Values from VASP.

The structure in Quantum ESPRESSO input format:
```
&SYSTEM
  ibrav = 0, nat = 8, ntyp = 3
/
ATOMIC_SPECIES
Tl 204.38 Tl.upf
Hg 200.59 Hg.upf
Pb 207.20 Pb.upf
CELL_PARAMETERS angstrom
4.641 0.000 -0.900
-0.175 4.638 -0.900
-0.333 -0.346 10.699
ATOMIC_POSITIONS angstrom
Tl 0.000 0.000 0.000
Hg 2.233 2.319 -0.900
Hg 1.345 3.806 6.937
Hg 3.753 1.487 6.937
Hg 2.788 0.486 1.962
Hg 0.381 2.805 1.962
Pb 3.136 3.256 3.754
Pb 0.998 1.036 5.145
```

## Properties
SG = No. 139
total moment = 0.00 μB/f.u.
E_form = 0.0347 eV/atom



The following is a PBE-GGA calculation of crystalline Ba2Tl7CdPb2 at its relaxed geometry, from the Alexandria database. Values from VASP.

The structure in Quantum ESPRESSO input format:
```
&SYSTEM
  ibrav = 0, nat = 12, ntyp = 4
/
ATOMIC_SPECIES
Ba 137.33 Ba.upf
Tl 204.38 Tl.upf
Cd 112.41 Cd.upf
Pb 207.20 Pb.upf
CELL_PARAMETERS angstrom
-2.230 1.741 -4.144
0.494 -4.425 -2.313
-15.908 -6.772 0.855
ATOMIC_POSITIONS angstrom
Ba -6.659 -4.307 -4.600
Ba -10.985 -5.149 -1.002
Tl -0.868 -1.342 -3.229
Tl -7.750 -3.745 -1.084
Tl -9.895 -5.711 -4.518
Tl -4.046 -1.153 -4.517
Tl -2.687 -4.231 -3.603
Tl -14.958 -5.225 -1.999
Tl -13.598 -8.303 -1.085
Cd 0.000 0.000 0.000
Pb -12.807 -6.808 -3.879
Pb -4.837 -2.648 -1.723
```

## Properties
SG = No. 12
total moment = 0.00 μB/f.u.
E_form = -0.1572 eV/atom



In the order shown, the computed total energy values come out to -4.546, -4.684, -6.019, -6.524, -9.474, -4.671, -8.116, -2.944, -3.113, -4.152, -2.846, -3.755, -3.724, -4.393, -5.922, -6.544, -1.377, -2.552 eV/atom.